Entry 1:
Material: TaNF3
Method: DFT, PBE-GGA
State: optimized geometry

As for the energy above the most stable polymorph in this dataset: 0.0 meV per atom.

Cell lengths 4.095, 4.095, 4.095 Å; angles 90.00, 90.00, 90.00 degrees
Site moments in Bohr magnetons follow the coordinates.
Positions (direct):
Ta 0.000 0.000 0.000  0.79
F 0.000 0.500 0.000  0.03
F 0.500 0.000 0.000  0.03
F 0.000 0.000 0.500  0.03
N 0.500 0.500 0.500  1.60

---

Entry 2:
Material: Ta2NF
Method: DFT, PBE-GGA
State: optimized geometry

As for the energy above the most stable polymorph in this dataset: 0.0 meV per atom.

Cell lengths 5.110, 5.110, 5.839 Å; angles 64.05, 64.05, 90.00 degrees
Positions (direct):
Ta 0.875 0.823 0.750
Ta 0.573 0.125 0.250
Ta 0.177 0.625 0.250
Ta 0.375 0.427 0.750
F 0.750 0.250 0.500
F 0.000 0.000 0.000
N 0.250 0.750 0.500
N 0.500 0.500 0.000

---

Entry 3:
Material: Ta2NF
Method: DFT, PBE-GGA
State: optimized geometry

As for the energy above the most stable polymorph in this dataset: 457.5 meV per atom.

Cell lengths 4.055, 4.055, 4.055 Å; angles 60.00, 60.00, 60.00 degrees
Positions (direct):
F 0.500 0.500 0.500
Ta 0.750 0.750 0.750
Ta 0.250 0.250 0.250
N 0.000 0.000 0.000

---

Entry 4:
Material: TaNF2
Method: DFT, PBE-GGA
State: optimized geometry

As for the energy above the most stable polymorph in this dataset: 0.0 meV per atom.

Cell lengths 3.743, 3.743, 3.743 Å; angles 60.00, 60.00, 60.00 degrees
Positions (direct):
F 0.750 0.750 0.750
F 0.250 0.250 0.250
Ta 0.500 0.500 0.500
N 0.000 0.000 0.000

---

Entry 5:
Material: TaNF3
Method: DFT, PBE-GGA
State: optimized geometry

As for the energy above the most stable polymorph in this dataset: 1758.8 meV per atom.

Cell lengths 3.950, 3.950, 3.950 Å; angles 90.00, 90.00, 90.00 degrees
Site moments in Bohr magnetons follow the coordinates.
Positions (direct):
N 0.000 0.000 0.000  0.98
F 0.000 0.500 0.000  0.04
F 0.000 0.000 0.500  -0.02
F 0.500 0.000 0.000  0.06
Ta 0.500 0.500 0.500  -2.09

---

Entry 6:
Material: TaN2F
Method: DFT, PBE-GGA
State: optimized geometry

As for the energy above the most stable polymorph in this dataset: 531.7 meV per atom.

Cell lengths 3.730, 3.730, 3.730 Å; angles 60.00, 60.00, 60.00 degrees
Positions (direct):
N 0.250 0.250 0.250
N 0.750 0.750 0.750
Ta 0.500 0.500 0.500
F 0.000 0.000 0.000

---

Entry 7:
Material: TaNF2
Method: DFT, PBE-GGA
State: optimized geometry

As for the energy above the most stable polymorph in this dataset: 298.7 meV per atom.

Cell lengths 9.344, 9.344, 9.344 Å; angles 19.19, 19.19, 19.19 degrees
Site moments in Bohr magnetons follow the coordinates.
Positions (direct):
F 0.932 0.932 0.932  0.01
F 0.068 0.068 0.068  0.01
N 0.500 0.500 0.500  1.97
Ta 0.000 0.000 0.000  -0.02

---

Entry 8:
Material: TaNF
Method: DFT, PBE-GGA
State: optimized geometry

For the uncorrected energy, the calculation gives -9.17 eV per atom.

Cell lengths 3.178, 4.181, 13.040 Å; angles 90.00, 90.00, 90.00 degrees
Positions (direct):
F 0.250 0.750 0.339
F 0.750 0.250 0.661
F 0.250 0.250 0.161
F 0.750 0.750 0.839
Ta 0.250 0.250 0.552
Ta 0.750 0.250 0.052
Ta 0.750 0.750 0.448
Ta 0.250 0.750 0.948
N 0.250 0.250 0.944
N 0.750 0.250 0.444
N 0.750 0.750 0.056
N 0.250 0.750 0.556

---

Entry 9:
Material: TaNF6
Method: DFT, PBE-GGA
State: optimized geometry

As for the energy above the most stable polymorph in this dataset: 0.0 meV per atom.

Cell lengths 6.924, 5.466, 5.423 Å; angles 58.59, 52.78, 56.37 degrees
Site moments in Bohr magnetons follow the coordinates.
Positions (direct):
F 0.203 0.628 0.883  0.01
F 0.233 0.889 0.175  0.02
F 0.767 0.111 0.825  0.02
F 0.789 0.801 0.414  0.01
F 0.797 0.372 0.117  0.01
F 0.211 0.199 0.586  0.01
N 0.500 0.000 0.000  1.37
Ta 0.000 0.000 0.000  0.01

---

Entry 10:
Material: TaN3F
Method: DFT, PBE-GGA
State: optimized geometry

For the uncorrected energy, the calculation gives -6.89 eV per atom.

Cell lengths 4.039, 4.039, 4.039 Å; angles 90.00, 90.00, 90.00 degrees
Site moments in Bohr magnetons follow the coordinates.
Positions (direct):
N 0.000 0.000 0.500  0.73
N 0.000 0.500 0.000  0.42
N 0.500 0.000 0.000  0.27
Ta 0.000 0.000 0.000  -0.15
F 0.500 0.500 0.500  -0.07

---

Entry 11:
Material: TaN2F
Method: DFT, PBE-GGA
State: optimized geometry

As for the energy above the most stable polymorph in this dataset: 256.5 meV per atom.

Cell lengths 5.426, 5.426, 6.111 Å; angles 63.64, 63.64, 90.00 degrees
Site moments in Bohr magnetons follow the coordinates.
Positions (direct):
Ta 0.750 0.250 0.500  -0.06
Ta 0.000 0.000 0.000  -0.06
N 0.749 0.125 0.250  0.54
N 0.875 0.999 0.750  0.51
N 0.001 0.625 0.250  0.55
N 0.375 0.251 0.750  0.50
F 0.250 0.750 0.500  0.51
F 0.500 0.500 0.000  0.52

---

Entry 12:
Material: TaN2F
Method: DFT, PBE-GGA
State: optimized geometry

As for the energy above the most stable polymorph in this dataset: 0.0 meV per atom.

Cell lengths 5.984, 5.984, 5.984 Å; angles 30.80, 30.80, 30.80 degrees
Positions (direct):
Ta 0.500 0.500 0.500
N 0.894 0.894 0.894
N 0.106 0.106 0.106
F 0.000 0.000 0.000

---

Entry 13:
Material: TaNF6
Method: DFT, PBE-GGA
State: optimized geometry

As for the energy above the most stable polymorph in this dataset: 206.1 meV per atom.

Cell lengths 4.958, 4.958, 4.958 Å; angles 90.99, 90.99, 90.99 degrees
Site moments in Bohr magnetons follow the coordinates.
Positions (direct):
Ta 0.000 0.000 0.000  0.03
F 0.117 0.787 0.697  -0.06
F 0.697 0.117 0.787  -0.06
F 0.883 0.213 0.303  -0.06
F 0.787 0.697 0.117  -0.06
F 0.213 0.303 0.883  -0.06
F 0.303 0.883 0.213  -0.06
N 0.500 0.500 0.500  1.65

---

Entry 14:
Material: Ta4N2F
Method: DFT, PBE-GGA
State: optimized geometry

For the uncorrected energy, the calculation gives -9.27 eV per atom.

Cell lengths 4.091, 4.091, 7.146 Å; angles 73.37, 73.37, 90.00 degrees
Positions (direct):
Ta 0.729 0.729 0.543
Ta 0.271 0.271 0.457
Ta 0.500 0.000 0.000
Ta 0.000 0.500 0.000
N 0.584 0.584 0.832
N 0.416 0.416 0.168
F 0.000 0.000 0.000

---

Entry 15:
Material: TaTcNF2
Method: DFT, PBE-GGA
State: optimized geometry

As for the energy above the most stable polymorph in this dataset: 681.4 meV per atom.

Cell lengths 4.174, 4.174, 3.868 Å; angles 90.00, 90.00, 90.00 degrees
Site moments in Bohr magnetons follow the coordinates.
Positions (direct):
F 0.000 0.500 0.000  0.05
F 0.500 0.000 0.000  0.05
N 0.000 0.000 0.500  -0.06
Tc 0.000 0.000 0.000  -0.21
Ta 0.500 0.500 0.500  1.96

---

Entry 16:
Material: TaTcNF2
Method: DFT, PBE-GGA
State: optimized geometry

As for the energy above the most stable polymorph in this dataset: 0.0 meV per atom.

Cell lengths 4.164, 4.164, 4.063 Å; angles 90.00, 90.00, 90.00 degrees
Site moments in Bohr magnetons follow the coordinates.
Positions (direct):
Ta 0.000 0.000 0.000  -0.56
F 0.500 0.000 0.000  0.02
F 0.000 0.500 0.000  0.02
Tc 0.500 0.500 0.500  3.41
N 0.000 0.000 0.500  0.06

---

Entry 17:
Material: TaTlN2F
Method: DFT, PBE-GGA
State: optimized geometry

As for the energy above the most stable polymorph in this dataset: 2139.4 meV per atom.

Cell lengths 4.275, 4.275, 4.168 Å; angles 90.00, 90.00, 90.00 degrees
Site moments in Bohr magnetons follow the coordinates.
Positions (direct):
Ta 0.500 0.500 0.500  1.45
N 0.000 0.500 0.000  -0.18
N 0.500 0.000 0.000  -0.18
Tl 0.000 0.000 0.000  0.00
F 0.000 0.000 0.500  0.03

---

Entry 18:
Material: TaTlN2F
Method: DFT, PBE-GGA
State: optimized geometry

As for the energy above the most stable polymorph in this dataset: 0.0 meV per atom.

Cell lengths 4.119, 4.119, 4.268 Å; angles 90.00, 90.00, 90.00 degrees
Positions (direct):
F 0.000 0.000 0.500
Ta 0.000 0.000 0.000
N 0.000 0.500 0.000
N 0.500 0.000 0.000
Tl 0.500 0.500 0.500